## Fe4O7F (PBE+U)

Data for a geometry-optimized Fe4O7F structure.

Output
V   10.7 Å³/atom
Electronic total energy   -6.131 eV per atom
N(E_F)   10.012 states/eV/cell
E above lowest polymorph   0.006 eV per atom
Space-group type   Cm

Lattice parameters (Å, degrees): 5.5153 5.5153 10.1914 69.29 69.29 66.17
Last column: nearest neighbours and their distance in Å.
Sites, in units of the cell vectors:
O (0.8238, 0.3295, 0.6537)  3 Fe 1.94-1.97
O (0.5776, 0.0759, 0.1532)  3 Fe 1.95-1.97
O (0.4251, 0.9227, 0.8464)  3 Fe 1.94-1.97
Fe (0.3641, 0.3641, 0.2568)  5 O 1.93-1.96, 1 F 2.08
O (0.4045, 0.4045, 0.8973)  3 Fe 1.95-2.01
O (0.8595, 0.8595, 0.5957)  3 Fe 1.97-2.02
O (0.3295, 0.8238, 0.6537)  3 Fe 1.94-1.97
O (0.6717, 0.1739, 0.3466)  3 Fe 1.95-1.98
Fe (0.7598, 0.2510, 0.4966)  5 O 1.94-1.98, 1 F 2.07
O (0.1119, 0.1119, 0.0913)  3 Fe 1.94-2.09
Fe (0.4979, 0.0163, 0.9952)  5 O 1.93-1.97, 1 F 2.10
O (0.6396, 0.6396, 0.4065)  3 Fe 1.94-2.10
Fe (0.0163, 0.4979, 0.9952)  5 O 1.93-1.97, 1 F 2.10
Fe (0.6316, 0.6316, 0.7464)  6 O 1.94-2.02
O (0.0759, 0.5776, 0.1532)  3 Fe 1.95-1.97
Fe (0.1080, 0.1080, 0.7609)  5 O 1.97, 1 F 2.13
O (0.8862, 0.8862, 0.9098)  3 Fe 1.93-1.97
Fe (0.8763, 0.8763, 0.2493)  6 O 1.95-2.10
O (0.1739, 0.6717, 0.3466)  3 Fe 1.95-1.98
O (0.9227, 0.4251, 0.8464)  3 Fe 1.94-1.97
F (0.5993, 0.5993, 0.1005)  3 Fe 2.08-2.10
F (0.3478, 0.3478, 0.5998)  3 Fe 2.07-2.13
O (0.1463, 0.1463, 0.4022)  3 Fe 1.93-1.94
Fe (0.2510, 0.7598, 0.4966)  5 O 1.94-1.98, 1 F 2.07